A plane-wave DFT calculation with PBE was carried out for a relaxed TbHPb crystal.

- V: 125.3 Å³ per cell
- E: -4.363 eV/atom
- Polymorph energy (0 for the lowest one): 82 meV per atom
- Crystal system: monoclinic
- Density of states at the Fermi level: 0.316 states/eV/atom

abc: 3.675 5.633 6.368
angles: 96.56 73.28 89.96
Sites, in units of the cell vectors:
Pb 0.572 0.724 0.856
Pb 0.428 0.276 0.144
H 0.741 0.118 0.518
H 0.259 0.882 0.482
Tb 0.161 0.223 0.677
Tb 0.839 0.777 0.323